<one>
A plane-wave DFT calculation with meta-GGA SCAN was carried out for a PBEsol-optimized structure of SnBi2N.

```
SnBi2N
1.0
-2.453 2.183 -3.820
-2.142 -2.839 -3.569
-5.019 -0.326 -0.285
N Bi Sn
1 2 1
Cartesian
0.000 0.000 0.000
-2.404 -0.245 -1.918
-7.211 -0.736 -5.755
-4.807 -0.490 -3.837
```

D(E_F) (states/eV/atom): 0.576

<two>
A plane-wave DFT calculation with meta-GGA SCAN was carried out for a PBEsol-optimized structure of SnBi2N.

```
SnBi2N
1.0
-0.698 -2.323 5.365
-0.865 -5.302 -2.408
7.202 2.620 -1.159
N Bi Sn
2 4 2
Cartesian
2.861 -1.758 2.842
-0.782 -3.812 1.478
0.712 -5.086 0.146
0.934 -3.136 2.970
5.121 0.486 -0.738
4.510 -2.276 1.217
2.778 -3.247 -1.045
0.000 0.000 0.000
```

D(E_F) (states/eV/atom): 0.607

Which of them is the least stable? Correct choice: <one>.